(1)
Crystalline Nd6InSi2I3 at its relaxed geometry. Source: the Alexandria database, functional PBE.

abc: 10.208 10.208 9.361
angles: 105.65 105.65 24.41
Positions (direct):
1 Nd 0.016 0.016 0.248
2 Nd 0.321 0.321 0.441
3 Nd 0.337 0.337 0.872
4 Nd 0.663 0.663 0.128
5 Nd 0.679 0.679 0.559
6 Nd 0.984 0.984 0.752
7 In 0.500 0.500 0.000
8 Si 0.168 0.168 0.341
9 Si 0.832 0.832 0.659
10 I 0.165 0.165 0.834
11 I 0.500 0.500 0.500
12 I 0.835 0.835 0.166

Calculated values
- raw total energy (Ry/atom) = -0.3484
- formation energy without anion corrections (eV/f.u.) = -10.03
- crystal system = monoclinic
- D(E_F) (states/eV per cell) = 6.07
- SG = C2/m, No. 12

=====

(2)
Crystalline Tb2PrNd3Ho6 at its relaxed geometry. Source: the Alexandria database, functional PBE.

abc: 6.218 6.218 11.815
angles: 95.02 95.02 119.99
Positions (direct):
1 Tb 0.167 0.833 0.000
2 Tb 0.833 0.167 0.000
3 Pr 0.500 0.500 0.000
4 Nd 0.000 0.000 0.500
5 Nd 0.333 0.667 0.500
6 Nd 0.667 0.333 0.500
7 Ho 0.083 0.417 0.752
8 Ho 0.249 0.249 0.248
9 Ho 0.417 0.083 0.752
10 Ho 0.583 0.917 0.248
11 Ho 0.751 0.751 0.752
12 Ho 0.917 0.583 0.248

Calculated values
- raw total energy (Ry/atom) = -0.3407
- crystal system = monoclinic
- D(E_F) (states/eV per cell) = 14.19
- SG = C2/m, No. 12
- formation energy (eV/atom) = 0.02

=====

(3)
Crystalline TmSc2TlC at its relaxed geometry. Source: the Alexandria database, functional PBE.

abc: 4.586 4.586 4.798
angles: 90.00 90.00 90.00
Positions (direct):
1 Tm 0.000 0.000 0.000
2 Sc 0.000 0.500 0.500
3 Sc 0.500 0.000 0.500
4 Tl 0.500 0.500 0.000
5 C 0.000 0.000 0.500

Calculated values
- raw total energy (Ry/atom) = -0.4643
- crystal system = tetragonal
- D(E_F) (states/eV per cell) = 0.86
- SG = P4/mmm, No. 123
- formation energy (eV/atom) = -0.57

=====

no.,volume (Å³ per atom)
1,32.29
2,32.47
3,20.18